# 1
DFT (PBE-GGA) results for crystalline GdTiCu2 at its relaxed geometry.

a b c (Å): 3.242 3.242 6.765
angles (deg): 90.00 90.00 90.00
Fractional coordinates of all 4 atoms:
Cu 0.000 0.000 0.197
Cu 0.000 0.000 0.803
Gd 0.500 0.500 0.500
Ti 0.500 0.500 0.000

Computed properties:
- SG = P4/mmm (123)

=====

# 2
DFT (PBE-GGA) results for crystalline CePu2Ti at its relaxed geometry.

a b c (Å): 3.216 3.216 10.316
angles (deg): 81.03 81.03 60.00
Fractional coordinates of all 4 atoms:
Pu 0.746 0.746 0.761
Ti 0.000 0.000 0.000
Pu 0.254 0.254 0.239
Ce 0.500 0.500 0.500

Computed properties:
- SG = R-3m (166)

=====

Number 1: calculated total energy -7.63 eV/atom. Number 2: calculated total energy -10.41 eV/atom.